1:
The following is a PBE-GGA calculation of a geometry-optimized YMoAsBr2 structure, from Alexandria.

Geometry as POSCAR:
```
YMoAsBr2
1.0
5.397 0.000 0.000
0.000 5.397 0.000
0.000 0.000 5.795
Y Mo As Br
1 1 1 2
direct
0.000 0.000 0.000
0.500 0.500 0.500
0.000 0.000 0.500
0.000 0.500 0.000
0.500 0.000 0.000
```

Properties
Calculated volume: 33.8 Å³/atom
Symmetry: P4/mmm

---

2:
The following is a PBE-GGA calculation of a geometry-optimized YMoAsBr2 structure, from Alexandria.

Geometry as POSCAR:
```
YMoAsBr2
1.0
5.062 0.000 0.000
0.000 5.062 0.000
0.000 0.000 5.098
Y Mo As Br
1 1 1 2
direct
0.500 0.500 0.500
0.000 0.000 0.000
0.000 0.000 0.500
0.000 0.500 0.000
0.500 0.000 0.000
```

Properties
Calculated volume: 26.1 Å³/atom
Symmetry: P4/mmm

---

Energy ordering: 2 at the bottom, the next structure 149 meV per atom above.

---

1:
The following is a PBE-GGA calculation of a geometry-optimized YMoAs2Br structure, from Alexandria.

Geometry as POSCAR:
```
YMoAs2Br
1.0
4.845 0.000 0.000
0.000 4.845 0.000
0.000 0.000 5.256
Y Mo As Br
1 1 2 1
direct
0.500 0.500 0.500
0.000 0.000 0.000
0.000 0.500 0.000
0.500 0.000 0.000
0.000 0.000 0.500
```

Properties
Calculated volume: 24.7 Å³/atom
Symmetry: P4/mmm

---

2:
The following is a PBE-GGA calculation of a geometry-optimized YMoAs2Br structure, from Alexandria.

Geometry as POSCAR:
```
YMoAs2Br
1.0
-4.487 -0.525 -3.088
-2.455 -2.760 4.037
-1.909 4.611 1.991
Y Mo As Br
1 1 2 1
direct
0.000 0.000 0.000
0.500 0.500 0.500
0.000 0.500 0.000
0.500 0.000 0.000
0.000 0.000 0.500
```

Properties
Calculated volume: 32.2 Å³/atom
Symmetry: P4/mmm

---

Energy ordering: 1 at the bottom, the next structure 697 meV per atom above.

---

1:
The following is a PBE-GGA calculation of a geometry-optimized ZnMoAsBr2 structure, from Alexandria.

Geometry as POSCAR:
```
ZnMoAsBr2
1.0
-4.981 1.672 0.277
-1.628 -4.959 0.660
0.438 0.502 4.846
Zn Mo As Br
1 1 1 2
direct
0.500 0.500 0.500
0.000 0.000 0.000
0.000 0.000 0.500
0.000 0.500 0.000
0.500 0.000 0.000
```

Properties
Calculated volume: 27.1 Å³/atom
Symmetry: P4/mmm

---

2:
The following is a PBE-GGA calculation of a geometry-optimized ZnMoAsBr2 structure, from Alexandria.

Geometry as POSCAR:
```
ZnMoAsBr2
1.0
5.101 0.000 0.000
0.000 5.101 0.000
0.000 0.000 5.012
Zn Mo As Br
1 1 1 2
direct
0.000 0.000 0.000
0.500 0.500 0.500
0.000 0.000 0.500
0.000 0.500 0.000
0.500 0.000 0.000
```

Properties
Calculated volume: 26.1 Å³/atom
Symmetry: P4/mmm

---

Energy ordering: 1 at the bottom, the next structure 515 meV per atom above.

---

1:
The following is a PBE-GGA calculation of a geometry-optimized NbAs2BrN structure, from Alexandria.

Geometry as POSCAR:
```
NbAs2BrN
1.0
-2.702 -1.792 -2.773
1.447 -3.863 1.087
-3.214 -0.273 3.308
Nb As Br N
1 2 1 1
direct
0.500 0.500 0.500
0.000 0.500 0.000
0.500 0.000 0.000
0.000 0.000 0.500
0.000 0.000 0.000
```

Properties
Calculated volume: 16.8 Å³/atom
Symmetry: P4/mmm

---

2:
The following is a PBE-GGA calculation of a geometry-optimized NbAs2BrN structure, from Alexandria.

Geometry as POSCAR:
```
NbAs2BrN
1.0
-0.335 -2.376 -4.382
-1.929 -3.988 2.310
-4.952 1.990 -0.701
Nb As Br N
1 2 1 1
direct
0.000 0.000 0.000
0.000 0.500 0.000
0.500 0.000 0.000
0.000 0.000 0.500
0.500 0.500 0.500
```

Properties
Calculated volume: 26.9 Å³/atom
Symmetry: P4/mmm

---

Energy ordering: 1 at the bottom, the next structure 195 meV per atom above.

---

1:
The following is a PBE-GGA calculation of a geometry-optimized AsOsBr2N structure, from Alexandria.

Geometry as POSCAR:
```
AsOsBr2N
1.0
-3.184 -2.726 -1.162
2.634 -1.822 -2.942
1.416 -2.981 3.114
As Os Br N
1 1 2 1
direct
0.000 0.000 0.500
0.500 0.500 0.500
0.000 0.500 0.000
0.500 0.000 0.000
0.000 0.000 0.000
```

Properties
Calculated volume: 17.2 Å³/atom
Symmetry: P4/mmm

---

2:
The following is a PBE-GGA calculation of a geometry-optimized AsOsBr2N structure, from Alexandria.

Geometry as POSCAR:
```
AsOsBr2N
1.0
-4.456 -1.042 -2.193
-2.095 -0.666 4.574
-1.133 4.543 0.143
As Os Br N
1 1 2 1
direct
0.000 0.000 0.500
0.000 0.000 0.000
0.000 0.500 0.000
0.500 0.000 0.000
0.500 0.500 0.500
```

Properties
Calculated volume: 24.1 Å³/atom
Symmetry: P4/mmm

---

Energy ordering: 2 at the bottom, the next structure 58 meV per atom above.

---

1:
The following is a PBE-GGA calculation of a geometry-optimized As2PbBrN structure, from Alexandria.

Geometry as POSCAR:
```
As2PbBrN
1.0
4.495 0.000 0.000
0.000 4.495 0.000
0.000 0.000 5.023
Pb As Br N
1 2 1 1
direct
0.500 0.500 0.500
0.000 0.500 0.000
0.500 0.000 0.000
0.000 0.000 0.500
0.000 0.000 0.000
```

Properties
Calculated volume: 20.3 Å³/atom
Symmetry: P4/mmm

---

2:
The following is a PBE-GGA calculation of a geometry-optimized As2PbBrN structure, from Alexandria.

Geometry as POSCAR:
```
As2PbBrN
1.0
-1.416 2.299 4.969
-0.894 -5.160 2.133
5.680 -0.265 1.741
Pb As Br N
1 2 1 1
direct
0.000 0.000 0.000
0.000 0.500 0.000
0.500 0.000 0.000
0.000 0.000 0.500
0.500 0.500 0.500
```

Properties
Calculated volume: 38.0 Å³/atom
Symmetry: P4/mmm

---

Energy ordering: 1 at the bottom, the next structure 909 meV per atom above.